CaMnCoF6 | PBE with a Hubbard U | optimized geometry

Cell: 4.9887 4.9887 10.1073 Å, 90.00 90.00 90.00°
Closest atoms and distances in Å follow each position.
Fractional positions:
Ca1 0.0000 0.0000 0.0000  6 F 2.24-2.29
Ca2 0.5000 0.5000 0.5000  6 F 2.24-2.29
Mn1 0.0000 0.0000 0.3329  6 F 2.13-2.17
Mn2 0.5000 0.5000 0.8329  6 F 2.13-2.17
Co1 0.0000 0.0000 0.6672  6 F 2.07-2.10
Co2 0.5000 0.5000 0.1672  6 F 2.07-2.10
F1 0.1824 0.1824 0.5040  1 Co 2.09, 1 Mn 2.16, 1 Ca 2.24
F2 0.1984 0.1984 0.8223  1 Co 2.10, 1 Mn 2.13, 1 Ca 2.28
F3 0.2068 0.2068 0.1740  1 Co 2.07, 1 Mn 2.17, 1 Ca 2.29
F4 0.2932 0.7068 0.6740  1 Co 2.07, 1 Mn 2.17, 1 Ca 2.29
F5 0.3016 0.6984 0.3223  1 Co 2.10, 1 Mn 2.13, 1 Ca 2.28
F6 0.3176 0.6824 0.0040  1 Co 2.09, 1 Mn 2.16, 1 Ca 2.24
F7 0.6824 0.3176 0.0040  1 Co 2.09, 1 Mn 2.16, 1 Ca 2.24
F8 0.6984 0.3016 0.3223  1 Co 2.10, 1 Mn 2.13, 1 Ca 2.28
F9 0.7068 0.2932 0.6740  1 Co 2.07, 1 Mn 2.17, 1 Ca 2.29
F10 0.7932 0.7932 0.1740  1 Co 2.07, 1 Mn 2.17, 1 Ca 2.29
F11 0.8016 0.8016 0.8223  1 Co 2.10, 1 Mn 2.13, 1 Ca 2.28
F12 0.8176 0.8176 0.5040  1 Co 2.09, 1 Mn 2.16, 1 Ca 2.24

Results
Fermi-level density of states   0.00 states/eV per atom
Space-group type   P4_2nm (102)
Spin magnetization   15.80 μB per cell
E_tot   -5.768 eV per atom